{"formula": "PmYAu5", "functional": "PBE", "state": "optimized geometry", "lattice_angstrom": [[3.350, -4.149, 0.000], [3.350, 4.149, 0.000], [-3.275, 0.000, 11.017]], "species": ["Pm", "Pm", "Y", "Y", "Au", "Au", "Au", "Au", "Au", "Au", "Au", "Au", "Au", "Au"], "fractional_positions": [[0.000, 0.500, 0.000], [0.500, 0.000, 0.500], [0.189, 0.811, 0.750], [0.811, 0.189, 0.250], [0.070, 0.284, 0.539], [0.175, 0.825, 0.250], [0.284, 0.070, 0.039], [0.390, 0.405, 0.348], [0.405, 0.390, 0.848], [0.595, 0.610, 0.152], [0.610, 0.595, 0.652], [0.716, 0.930, 0.961], [0.825, 0.175, 0.750], [0.930, 0.716, 0.461]], "total_energy_ev_per_atom": -4.58, "magmom_total_mub_per_cell": 0.00, "delta_e_f_ev_per_atom": -0.638, "dos_at_fermi_per_ev_atom": 0.60}